Material: Gd2ZnCoAs2O2
Method: DFT, PBE with a Hubbard U
State: relaxed

Unit cell a=3.950 b=3.950 c=8.858 alpha=90.00 beta=90.00 gamma=90.00
Positions (direct):
As 0.000 0.500 0.178
As 0.500 0.000 0.822
Co 0.000 0.000 0.000
Gd 0.500 0.000 0.373
Gd 0.000 0.500 0.627
O 0.000 0.000 0.500
O 0.500 0.500 0.500
Zn 0.500 0.500 0.000

Output
The total magnetic moment comes out at 2.5 μB/f.u. For the uncorrected energy, the calculation gives -6.078 eV per atom.